Density functional theory data (PBE-GGA) for a relaxed structure of LaFeHg2.

abc: 3.4961 3.4961 7.6803
angles: 90.00 90.00 90.00
Closest atoms and distances in Å follow each position.
Sites, in units of the cell vectors:
Fe 0.5000 0.5000 0.7878  4 Hg 2.80
Hg 0.0000 0.0000 0.9582  4 Fe 2.80
Hg 0.5000 0.5000 0.2209  8 Hg 3.19-3.50, 1 Fe 3.33, 4 La 3.44
La 0.0000 0.0000 0.5332  4 Fe 3.15, 5 Hg 3.26-3.44, 4 La 3.50

Calculated values
DOS at the Fermi energy in states/eV per cell: 5.3
Space group: P4mm, No. 99
DFT formation energy in eV/atom: 0.102
VASP energy in eV/atom: -3.40